This record from the Alexandria database describes a relaxed Sr2SmOsO8 crystal. The functional is PBE.

abc: 5.1790 6.9436 5.2417
angles: 90.00 91.12 90.00
With the nearest neighbours (Å) after each atom.
Element x y z (fractional)
Sr1 0.0000 0.2389 0.0000  6 O 2.42-2.54
Sr2 0.0000 0.7611 0.0000  6 O 2.42-2.54
Sm1 0.5000 0.5000 0.5000  6 O 2.29-2.44
Os1 0.5000 0.0000 0.5000  6 O 1.84-1.90
O1 0.1105 0.5000 0.2863  1 Sm 2.29, 2 Sr 2.42, 1 O 2.53
O2 0.1937 0.0000 0.3157  1 Os 1.84
O3 0.3797 0.2012 0.7132  1 Os 1.90
O4 0.3797 0.7988 0.7132  1 Os 1.90
O5 0.6203 0.2012 0.2868  1 Os 1.90
O6 0.6203 0.7988 0.2868  1 Os 1.90
O7 0.8063 0.0000 0.6843  1 Os 1.84
O8 0.8895 0.5000 0.7137  1 Sm 2.29, 2 Sr 2.42, 1 O 2.53

## Properties
Its calculated volume is 15.7 Å³/atom. The uncorrected formation energy comes out at -185.6 kJ per mole of atoms.


This record from the Alexandria database describes a relaxed PdCI2N crystal. The functional is PBE.

abc: 5.6321 5.6321 3.7434
angles: 90.00 90.00 90.00
With the nearest neighbours (Å) after each atom.
Element x y z (fractional)
Pd1 0.0000 0.0000 0.0000  2 N 1.87
C1 0.5000 0.5000 0.5000  8 I 3.38, 2 C 3.74
I1 0.0000 0.5000 0.0000  2 Pd 2.82
I2 0.5000 0.0000 0.0000  2 Pd 2.82
N1 0.0000 0.0000 0.5000  2 Pd 1.87

## Properties
Its calculated volume is 23.7 Å³/atom. The value obtained for the density of states at the Fermi level is 3.6 states/eV/f.u. The uncorrected formation energy comes out at 188.4 kJ per mole of atoms.


This record from the Alexandria database describes a relaxed Co2PbBr crystal. The functional is PBE.

abc: 4.6260 4.6260 4.6260
angles: 60.00 60.00 60.00
With the nearest neighbours (Å) after each atom.
Element x y z (fractional)
Co1 0.2500 0.2500 0.2500  4 Br 2.83, 4 Pb 2.83
Co2 0.7500 0.7500 0.7500  4 Pb 2.83, 4 Br 2.83
Pb1 0.0000 0.0000 0.0000  8 Co 2.83
Br1 0.5000 0.5000 0.5000  8 Co 2.83

## Properties
Its calculated volume is 17.5 Å³/atom. The value obtained for the density of states at the Fermi level is 4.9 states/eV/f.u. The uncorrected formation energy comes out at 75.7 kJ per mole of atoms.


This record from the Alexandria database describes a relaxed LiRh2 crystal. The functional is PBE.

abc: 4.8021 4.8021 4.8021
angles: 100.67 100.67 129.02
With the nearest neighbours (Å) after each atom.
Element x y z (fractional)
Li1 0.2500 0.2500 0.0000  2 Li 2.07
Li2 0.7500 0.7500 0.0000  2 Li 2.07
Rh1 0.1464 0.6464 0.7928  7 Rh 2.54-2.74, 4 Li 2.56
Rh2 0.3536 0.1464 0.5000  7 Rh 2.54-2.74, 4 Li 2.56
Rh3 0.6464 0.8536 0.5000  7 Rh 2.54-2.74, 4 Li 2.56
Rh4 0.8536 0.3536 0.2072  7 Rh 2.54-2.74, 4 Li 2.56

## Properties
Its calculated volume is 12.9 Å³/atom. For the calculated formation energy, the calculation gives 6.8 kJ/mol of atoms. The value obtained for the density of states at the Fermi level is 3.1 states/eV/f.u.


This record from the Alexandria database describes a relaxed YCrNi2 crystal. The functional is PBE.

abc: 4.2975 4.2975 3.4309
angles: 90.00 90.00 90.00
With the nearest neighbours (Å) after each atom.
Element x y z (fractional)
Y1 0.0000 0.0000 0.0000  8 Ni 2.75, 4 Cr 3.04
Cr1 0.5000 0.5000 0.0000  8 Ni 2.75, 4 Y 3.04
Ni1 0.0000 0.5000 0.5000  4 Cr 2.75, 4 Y 2.75, 4 Ni 3.04
Ni2 0.5000 0.0000 0.5000  4 Cr 2.75, 4 Y 2.75, 4 Ni 3.04

## Properties
Its calculated volume is 15.8 Å³/atom. For the calculated formation energy, the calculation gives 1.7 kJ/mol of atoms. The value obtained for the density of states at the Fermi level is 3.4 states/eV/f.u.


This record from the Alexandria database describes a relaxed KCu2AsS3 crystal. The functional is PBE.

abc: 6.3500 8.9936 10.4101
angles: 90.77 91.15 90.51
With the nearest neighbours (Å) after each atom.
Element x y z (fractional)
K1 0.2053 0.4310 0.1285  6 S 3.17-3.45, 2 Cu 3.48-3.51
K2 0.2870 0.5638 0.6274  6 S 3.19-3.32, 1 Cu 3.56
K3 0.7130 0.4362 0.3726  6 S 3.19-3.32, 1 Cu 3.56
K4 0.7947 0.5690 0.8715  6 S 3.17-3.45, 2 Cu 3.48-3.51
Cu1 0.0045 0.9009 0.6684  3 S 2.27-2.31
Cu2 0.0762 0.8443 0.0463  4 S 2.32-2.47
Cu3 0.4363 0.1379 0.5404  4 S 2.33-2.38
Cu4 0.4852 0.2481 0.8546  3 S 2.30-2.31
Cu5 0.5148 0.7519 0.1454  3 S 2.30-2.31
Cu6 0.5637 0.8621 0.4596  4 S 2.33-2.38
Cu7 0.9238 0.1557 0.9537  4 S 2.32-2.47
Cu8 0.9955 0.0991 0.3316  3 S 2.27-2.31
As1 0.0311 0.8183 0.3457  3 S 2.32-2.33, 1 Cu 2.54
As2 0.4869 0.9509 0.8564  3 S 2.32-2.37
As3 0.5131 0.0491 0.1436  3 S 2.32-2.37
As4 0.9689 0.1817 0.6543  3 S 2.32-2.33, 1 Cu 2.54
S1 0.1348 0.3036 0.8277  2 Cu 2.30-2.32, 1 As 2.33
S2 0.1379 0.2679 0.4744  2 Cu 2.28-2.33, 1 As 2.32
S3 0.1489 0.0808 0.1370  3 Cu 2.27-2.47, 1 As 2.33
S4 0.3539 0.6977 0.3355  2 Cu 2.30-2.34, 1 As 2.33
S5 0.3540 0.7293 0.9455  2 Cu 2.31-2.32, 1 As 2.37
S6 0.3650 0.9142 0.6464  3 Cu 2.31-2.38, 1 As 2.32
S7 0.6350 0.0858 0.3536  3 Cu 2.31-2.38, 1 As 2.32
S8 0.6460 0.2707 0.0545  2 Cu 2.31-2.32, 1 As 2.37
S9 0.6461 0.3023 0.6645  2 Cu 2.30-2.34, 1 As 2.33
S10 0.8511 0.9192 0.8630  3 Cu 2.27-2.47, 1 As 2.33
S11 0.8621 0.7321 0.5256  2 Cu 2.28-2.33, 1 As 2.32
S12 0.8652 0.6964 0.1723  2 Cu 2.30-2.32, 1 As 2.33

## Properties
Its calculated volume is 21.2 Å³/atom. The uncorrected formation energy comes out at -45.3 kJ per mole of atoms.


This record from the Alexandria database describes a relaxed Zn2W crystal. The functional is PBE.

abc: 7.3536 7.3536 4.5809
angles: 90.00 90.00 158.67
With the nearest neighbours (Å) after each atom.
Element x y z (fractional)
Zn1 0.1189 0.8811 0.7500  6 Zn 2.70-2.72, 6 W 2.78-2.85
Zn2 0.2179 0.7821 0.2500  10 Zn 2.70-2.82, 2 W 2.80
Zn3 0.7821 0.2179 0.7500  10 Zn 2.70-2.82, 2 W 2.80
Zn4 0.8811 0.1189 0.2500  6 Zn 2.70-2.72, 6 W 2.78-2.85
W1 0.4511 0.5489 0.7500  4 W 2.69-2.72, 8 Zn 2.78-2.85
W2 0.5489 0.4511 0.2500  4 W 2.69-2.72, 8 Zn 2.78-2.85

## Properties
Its calculated volume is 15.0 Å³/atom. For the calculated formation energy, the calculation gives 16.2 kJ/mol of atoms. The value obtained for the density of states at the Fermi level is 1.2 states/eV/f.u.


This record from the Alexandria database describes a relaxed VCuSb2Te crystal. The functional is PBE.

abc: 4.9937 4.9937 5.2673
angles: 90.00 90.00 90.00
With the nearest neighbours (Å) after each atom.
Element x y z (fractional)
V1 0.0000 0.0000 0.0000  4 Te 3.53, 8 Sb 3.63
Cu1 0.5000 0.5000 0.5000  4 Sb 2.50, 2 Te 2.63
Sb1 0.0000 0.5000 0.5000  2 Cu 2.50
Sb2 0.5000 0.0000 0.5000  2 Cu 2.50
Te1 0.5000 0.5000 0.0000  2 Cu 2.63

## Properties
Its calculated volume is 26.3 Å³/atom. The value obtained for the density of states at the Fermi level is 5.9 states/eV/f.u. The uncorrected formation energy comes out at 71.8 kJ per mole of atoms.


This record from the Alexandria database describes a relaxed NaTcAsBr2 crystal. The functional is PBE.

abc: 5.4405 5.4405 4.7219
angles: 90.00 90.00 90.00
With the nearest neighbours (Å) after each atom.
Element x y z (fractional)
Na1 0.0000 0.0000 0.0000  8 Br 3.60, 4 As 3.85
Tc1 0.5000 0.5000 0.5000  2 As 2.36
As1 0.5000 0.5000 0.0000  2 Tc 2.36
Br1 0.0000 0.5000 0.5000  2 Tc 2.72
Br2 0.5000 0.0000 0.5000  2 Tc 2.72

## Properties
Its calculated volume is 28.0 Å³/atom. The value obtained for the density of states at the Fermi level is 2.8 states/eV/f.u. The uncorrected formation energy comes out at -15.7 kJ per mole of atoms.


This record from the Alexandria database describes a relaxed CdAg6Au5 crystal. The functional is PBE.

abc: 6.6160 6.6160 5.0808
angles: 97.86 97.86 84.32
With the nearest neighbours (Å) after each atom.
Element x y z (fractional)
Cd1 0.0000 0.0000 0.0000  6 Au 2.94-2.96, 6 Ag 2.96-2.98
Ag1 0.0847 0.4190 0.2501  5 Au 2.93-2.98, 6 Ag 2.93-2.97, 1 Cd 2.96
Ag2 0.2516 0.2516 0.7483  6 Ag 2.93-2.96, 5 Au 2.93-2.95, 1 Cd 2.98
Ag3 0.4190 0.0847 0.2501  5 Au 2.93-2.98, 6 Ag 2.93-2.97, 1 Cd 2.96
Ag4 0.5810 0.9153 0.7499  5 Au 2.93-2.98, 6 Ag 2.93-2.97, 1 Cd 2.96
Ag5 0.7484 0.7484 0.2517  6 Ag 2.93-2.96, 5 Au 2.93-2.95, 1 Cd 2.98
Ag6 0.9153 0.5810 0.7499  5 Au 2.93-2.98, 6 Ag 2.93-2.97, 1 Cd 2.96
Au1 0.1665 0.8335 0.5000  6 Ag 2.93-2.98, 2 Cd 2.94, 4 Au 2.94-2.96
Au2 0.3333 0.6667 0.0000  6 Ag 2.93-2.96, 5 Au 2.94-2.96, 1 Cd 2.96
Au3 0.5000 0.5000 0.5000  6 Ag 2.93-2.94, 6 Au 2.94-2.96
Au4 0.6667 0.3333 0.0000  6 Ag 2.93-2.96, 5 Au 2.94-2.96, 1 Cd 2.96
Au5 0.8335 0.1665 0.5000  6 Ag 2.93-2.98, 2 Cd 2.94, 4 Au 2.94-2.96

## Properties
Its calculated volume is 18.1 Å³/atom. For the calculated formation energy, the calculation gives -5.0 kJ/mol of atoms. The value obtained for the density of states at the Fermi level is 3.6 states/eV/f.u.